# 1
Mo2P: relaxed, PBE-GGA.

a b c (Å): 4.338 4.338 2.886
angles (deg): 90.00 90.00 120.00
Fractional positions:
Mo (0.333, 0.667, 0.500)
Mo (0.667, 0.333, 0.500)
P (0.000, 0.000, 0.000)

M_tot: 0.00 μB per cell
electronic total energy: -8.3952 eV/atom
distance to the lowest polymorph of the same formula: 1.0126 eV per atom

***

# 2
NiRuS3: relaxed, PBE-GGA.

a b c (Å): 4.571 4.571 4.571
angles (deg): 90.00 90.00 90.00
Fractional positions:
Ru (0.000, 0.000, 0.000)
S (0.000, 0.500, 0.000)
S (0.000, 0.000, 0.500)
S (0.500, 0.000, 0.000)
Ni (0.500, 0.500, 0.500)

uncorrected formation energy: 0.8423 eV/atom
M_tot: 2.37 μB per cell
electronic total energy: -4.6456 eV/atom

***

# 3
Cs2KInI6: relaxed, PBE-GGA.

a b c (Å): 8.584 9.563 12.692
angles (deg): 90.00 90.00 90.00
Fractional positions:
Cs (0.500, 0.801, 0.221)
Cs (0.000, 0.199, 0.721)
Cs (0.500, 0.801, 0.779)
Cs (0.000, 0.199, 0.279)
K (0.000, 0.711, 0.500)
K (0.500, 0.289, 0.000)
In (0.500, 0.218, 0.500)
In (0.000, 0.782, 0.000)
I (0.500, 0.213, 0.267)
I (0.500, 0.213, 0.733)
I (0.000, 0.787, 0.233)
I (0.000, 0.787, 0.767)
I (0.262, 0.991, 0.500)
I (0.738, 0.991, 0.500)
I (0.251, 0.428, 0.500)
I (0.749, 0.428, 0.500)
I (0.751, 0.572, 0.000)
I (0.249, 0.572, 0.000)
I (0.238, 0.009, 0.000)
I (0.762, 0.009, 0.000)

uncorrected formation energy: -1.0951 eV/atom
M_tot: 0.00 μB per cell
electronic total energy: -2.5795 eV/atom
distance to the lowest polymorph of the same formula: 0.0000 eV per atom

***

# 4
Pm3LuN: relaxed, PBE-GGA.

a b c (Å): 5.085 5.085 5.085
angles (deg): 90.00 90.00 90.00
Fractional positions:
N (0.000, 0.000, 0.000)
Lu (0.500, 0.500, 0.500)
Pm (0.000, 0.500, 0.000)
Pm (0.000, 0.000, 0.500)
Pm (0.500, 0.000, 0.000)

uncorrected formation energy: -0.4862 eV/atom
M_tot: 0.00 μB per cell
electronic total energy: -5.9059 eV/atom

***

Copy entry 4 word for word.
Pm3LuN: relaxed, PBE-GGA.

a b c (Å): 5.085 5.085 5.085
angles (deg): 90.00 90.00 90.00
Fractional positions:
N (0.000, 0.000, 0.000)
Lu (0.500, 0.500, 0.500)
Pm (0.000, 0.500, 0.000)
Pm (0.000, 0.000, 0.500)
Pm (0.500, 0.000, 0.000)

uncorrected formation energy: -0.4862 eV/atom
M_tot: 0.00 μB per cell
electronic total energy: -5.9059 eV/atom

***

> The lowest electronic total energy belongs to which entry?

Mo2P

***

> Which of these has the lowest electronic total energy?

Mo2P